Computed, not measured: crystalline Y2MgAuN at its relaxed geometry at the GGA-PBE level of DFT.

Unit cell a=4.8429 b=4.8429 c=4.1765 alpha=90.00 beta=90.00 gamma=90.00
Last column: nearest neighbours and their distance in Å.
Space group P4/mmm (No. 123)
Inequivalent atoms, fractional coordinates:
Y: 0.0000 0.5000 0.0000 (multiplicity 2)  2 N 2.42
Mg: 0.0000 0.0000 0.5000 (multiplicity 1)  2 N 2.09
Au: 0.5000 0.5000 0.5000 (multiplicity 1)  8 Y 3.20, 4 Mg 3.42
N: 0.0000 0.0000 0.0000 (multiplicity 1)  2 Mg 2.09

Values from the calculation:
formation energy from raw total energies = -0.909 eV/atom
size of the total moment = 0.00 μB/atom